Record 1
# SrHfSn2

SrHfSn2 after structural relaxation (GGA-PBE, Alexandria via LeMat-Bulk).

Results
The energy of formation from the pure elements is -0.104 eV/atom. As for the crystal system: cubic.

abc: 5.339 5.339 5.339
angles: 60.00 60.00 60.00
Sites, in units of the cell vectors:
Sr  0.000  0.000  0.000
Hf  0.500  0.500  0.500
Sn  0.250  0.250  0.250
Sn  0.750  0.750  0.750

=====

Record 2
# Ta2HgSe

Ta2HgSe after structural relaxation (GGA-PBE, Alexandria via LeMat-Bulk).

Results
The value obtained for the uncorrected formation energy is 407 meV/atom. As for the crystal system: orthorhombic.

abc: 3.337 4.648 4.932
angles: 90.00 90.00 90.00
Sites, in units of the cell vectors:
Ta  0.000  0.000  0.000
Ta  0.500  0.000  0.500
Hg  0.000  0.500  0.500
Se  0.500  0.500  0.000

=====

Number 1: relative energy among the computed polymorphs 211 meV per atom. Number 2: relative energy among the computed polymorphs 433 meV per atom.